No. 1
CaFe3S after structural relaxation. Source: Alexandria via LeMat-Bulk, functional PBE.

Structure (extended XYZ):
```
5
Lattice="4.644 0.000 0.000 0.000 4.644 0.000 0.000 0.000 4.644" Properties=species:S:1:pos:R:3 pbc="T T T"
Ca 0.000 0.000 0.000
Fe 0.000 0.000 2.322
Fe 0.000 2.322 0.000
Fe 2.322 0.000 0.000
S 2.322 2.322 2.322
```

Properties
For the formation energy (no corrections), the calculation gives 2061 meV per atom. Its space group is Pm-3m. The density of states at the Fermi level comes out at 6.27 states/eV/f.u.

=====

No. 2
CsY2ScO after structural relaxation. Source: Alexandria via LeMat-Bulk, functional PBE.

Structure (extended XYZ):
```
5
Lattice="6.713 0.000 0.000 0.000 6.713 0.000 0.000 0.000 3.914" Properties=species:S:1:pos:R:3 pbc="T T T"
Cs 0.000 0.000 0.000
Y 0.000 3.356 1.957
Y 3.356 0.000 1.957
Sc 3.356 3.356 1.957
O 3.356 3.356 0.000
```

Properties
For the formation energy (no corrections), the calculation gives -16 meV per atom. Its space group is P4/mmm. The density of states at the Fermi level comes out at 6.55 states/eV/f.u.

=====

No. 3
GdMgZrSc after structural relaxation. Source: Alexandria via LeMat-Bulk, functional PBE.

Structure (extended XYZ):
```
4
Lattice="0.000 3.703 3.703 3.703 0.000 3.703 3.703 3.703 0.000" Properties=species:S:1:pos:R:3 pbc="T T T"
Gd 0.000 0.000 0.000
Mg 5.555 5.555 5.555
Zr 1.852 1.852 1.852
Sc 3.703 3.703 3.703
```

Properties
Its space group is F-43m. The formation energy from the elements comes out at 0.13 eV/atom. The density of states at the Fermi level comes out at 6.35 states/eV/f.u.

=====

No. 4
BaCo2P after structural relaxation. Source: Alexandria via LeMat-Bulk, functional PBE.

Structure (extended XYZ):
```
4
Lattice="4.429 0.000 0.000 0.000 4.429 0.000 0.000 0.000 3.741" Properties=species:S:1:pos:R:3 pbc="T T T"
Ba 0.000 0.000 0.000
Co 0.000 2.214 1.870
Co 2.214 0.000 1.870
P 2.214 2.214 0.000
```

Properties
Its space group is P4/mmm. The formation energy from the elements comes out at 0.74 eV/atom. The density of states at the Fermi level comes out at 7.90 states/eV/f.u.